No. 1
DFT (PBE) results for a geometry-optimized Hg4AuI2F structure.

Geometry as extended XYZ:
```
16
Lattice="5.3737 -7.9585 0.0000 5.3737 7.9585 0.0000 -4.9775 0.0000 6.6932" Properties=species:S:1:pos:R:3 pbc="T T T"
Hg -0.8714 5.6648 6.5376
Hg 0.0582 1.0134 3.4610
Hg 4.1526 5.6648 3.5023
Hg 2.5469 -1.0134 0.1144
Hg 3.2231 1.0134 6.5788
Hg 1.6174 -5.6648 3.1910
Hg 5.7118 -1.0134 3.2322
Hg 6.6414 -5.6648 0.1557
Au 0.0000 0.0000 0.0000
Au -2.4887 0.0000 3.3466
I 0.1981 3.9793 3.3466
I 2.6869 -3.9793 0.0000
I 5.3737 0.0000 0.0000
I 2.8850 0.0000 3.3466
F 2.6869 3.9793 0.0000
F 0.1981 -3.9793 3.3466
```

Output
- Energy relative to the elements, uncorrected: -309.5 meV/atom

=====

No. 2
DFT (PBE) results for a geometry-optimized InHgAuF6 structure.

Geometry as extended XYZ:
```
18
Lattice="6.0424 0.0000 0.0000 -3.0212 5.2329 0.0000 0.0000 0.0000 9.6445" Properties=species:S:1:pos:R:3 pbc="T T T"
In 0.0000 3.4886 2.4111
In 3.0212 1.7443 7.2334
Hg 0.0000 3.4886 7.2334
Hg 3.0212 1.7443 2.4111
Au 0.0000 0.0000 0.0000
Au 0.0000 0.0000 4.8222
F -0.9532 1.9604 1.2843
F -1.8001 3.4272 3.5379
F 0.9532 1.9604 3.5379
F -0.8469 5.0782 1.2843
F 2.1743 0.1547 6.1065
F 1.2211 1.8057 8.3602
F 1.8001 3.4272 1.2843
F 0.8469 5.0782 3.5379
F 3.8681 0.1547 8.3602
F 2.0680 3.2725 6.1065
F 4.8213 1.8057 6.1065
F 3.9744 3.2725 8.3602
```

Output
- Energy relative to the elements, uncorrected: -1599.9 meV/atom

=====

No. 3
DFT (PBE) results for a geometry-optimized K2HgAuF6 structure.

Geometry as extended XYZ:
```
10
Lattice="0.0000 4.5430 4.5430 4.5430 0.0000 4.5430 4.5430 4.5430 0.0000" Properties=species:S:1:pos:R:3 pbc="T T T"
K 2.2715 2.2715 2.2715
K 6.8146 6.8146 6.8146
Hg 0.0000 0.0000 0.0000
Au 4.5430 4.5430 4.5430
F 4.5430 4.5430 2.2891
F 4.5430 2.2891 4.5430
F 6.7969 4.5430 4.5430
F 2.2891 4.5430 4.5430
F 4.5430 6.7969 4.5430
F 4.5430 4.5430 6.7969
```

Output
- Energy relative to the elements, uncorrected: -1763.3 meV/atom

=====

No. 4
DFT (PBE) results for a geometry-optimized K8HgAu2F structure.

Geometry as extended XYZ:
```
12
Lattice="7.2607 0.0000 0.0000 -0.6147 8.1166 0.0000 -1.9071 -0.1730 8.5775" Properties=species:S:1:pos:R:3 pbc="T T T"
K 0.2121 1.7442 3.5517
K 0.6311 5.7315 2.8650
K 0.0550 0.6292 8.2943
K 0.4372 4.5569 6.4589
K 4.3017 3.3867 2.1186
K 4.6839 7.3144 0.2832
K 4.1079 2.2121 5.7125
K 4.5268 6.1994 5.0258
Hg -0.3074 4.0583 0.0000
Au 1.3809 7.6887 5.5317
Au 3.3580 0.2549 3.0458
F -1.2609 3.9718 4.2887
```

Output
- Energy relative to the elements, uncorrected: -559.6 meV/atom

=====

No. 5
DFT (PBE) results for a geometry-optimized KHgAu2F8 structure.

Geometry as extended XYZ:
```
12
Lattice="-3.0259 3.0259 5.4288 3.0259 -3.0259 5.4288 3.0259 3.0259 -5.4288" Properties=species:S:1:pos:R:3 pbc="T T T"
K 0.0000 0.0000 0.0000
Hg 0.0000 3.0259 2.7144
Au 3.0259 0.0000 2.7144
Au 0.0000 0.0000 5.4288
F 1.8087 1.9279 -2.8361
F 2.4325 1.1553 -0.0694
F 1.8706 -0.5934 5.4982
F 1.2172 1.0980 2.5927
F 4.1239 1.8087 2.8361
F 1.1553 3.6194 0.0694
F 0.5934 1.8706 5.3594
F -1.0980 1.2172 8.2649
```

Output
- Energy relative to the elements, uncorrected: -1396.6 meV/atom

=====

No. 6
DFT (PBE) results for a geometry-optimized KHgAuF6 structure.

Geometry as extended XYZ:
```
9
Lattice="5.2534 0.0000 0.0000 -1.4443 5.5535 0.0000 -0.8966 -0.9439 6.1212" Properties=species:S:1:pos:R:3 pbc="T T T"
K 0.0000 0.0000 0.0000
Hg -0.0457 3.6964 3.1200
Au 2.9639 1.1925 3.1206
F -0.6867 3.1965 1.2719
F -0.6918 1.1253 4.2625
F 1.3515 1.2483 2.0063
F 0.2679 4.4761 4.9694
F 2.1214 5.1403 2.1594
F 2.3807 2.8160 4.0618
```

Output
- Energy relative to the elements, uncorrected: -1603.2 meV/atom

=====

No. 7
DFT (PBE) results for a geometry-optimized LiHgAuF6 structure.

Geometry as extended XYZ:
```
18
Lattice="4.8787 0.0000 0.0000 0.0000 4.8787 0.0000 0.0000 0.0000 11.0990" Properties=species:S:1:pos:R:3 pbc="T T T"
Li 0.0000 0.0000 0.0000
Li 2.4394 2.4394 5.5495
Hg 0.0000 0.0000 4.0205
Hg 2.4394 2.4394 9.5700
Au 0.0000 0.0000 7.5515
Au 2.4394 2.4394 2.0020
F 0.9032 0.9032 9.4844
F 1.0534 1.0534 1.9849
F 1.0539 1.0539 5.8455
F 1.3855 3.4932 0.2959
F 1.3860 3.4928 7.5344
F 1.5361 3.3426 3.9349
F 3.3426 1.5361 3.9349
F 3.4932 1.3855 0.2959
F 3.4928 1.3860 7.5344
F 3.8253 3.8253 1.9849
F 3.8248 3.8248 5.8455
F 3.9755 3.9755 9.4844
```

Output
- Energy relative to the elements, uncorrected: -1501.5 meV/atom